The following is a DFT calculation (PBE) of Pr2Ho3Cd2 after structural relaxation.

Fermi-level density of states   9.66 states/eV/cell
VASP energy   -3.73 eV per atom
Distance to the lowest polymorph of the same formula   0.000 eV per atom
ΔE_f   -0.96 eV per formula unit
Crystal system   monoclinic

Unit cell a=5.4708 b=5.4719 c=8.6648 alpha=108.45 beta=90.00 gamma=119.99
With the nearest neighbours (Å) after each atom.
Atoms (fractional coordinates):
Cd  0.2132  0.4264  0.1399  4 Ho 3.17-3.36, 4 Pr 3.34
Pr  0.9247  0.8493  0.2736  4 Cd 3.34, 3 Ho 3.52, 1 Pr 3.65
Cd  0.7868  0.5736  0.8601  4 Ho 3.17-3.36, 4 Pr 3.34
Ho  0.6557  0.3114  0.4668  1 Cd 3.17, 3 Ho 3.20-3.21, 3 Pr 3.52
Pr  0.0753  0.1507  0.7264  4 Cd 3.34, 3 Ho 3.52, 1 Pr 3.65
Ho  0.3443  0.6886  0.5332  1 Cd 3.17, 3 Ho 3.20-3.21, 3 Pr 3.52
Ho  0.5000  0.0000  0.0000  6 Cd 3.35-3.36